First-principles (PBE+U) data for a relaxed structure of LiVOF3, as listed in Alexandria via LeMat-Bulk.

a = 6.121 Å, b = 6.123 Å, c = 8.246 Å
α = 90.00°, β = 90.00°, γ = 90.04°
Each line ends with the local moment (μB).
Positions (direct):
Li 0.249 0.253 0.378  0.00
Li 0.253 0.752 0.127  0.00
Li 0.747 0.248 0.627  0.00
Li 0.751 0.747 0.878  0.00
V 0.000 0.263 0.019  1.06
V 0.262 0.000 0.769  1.05
V 0.738 0.000 0.269  1.05
V 0.000 0.737 0.519  1.06
O 0.023 0.780 0.726  -0.09
O 0.220 0.023 0.976  -0.09
O 0.780 0.977 0.476  -0.09
O 0.977 0.220 0.226  -0.09
F 0.012 0.223 0.764  0.00
F 0.215 0.535 0.461  0.00
F 0.211 0.483 0.022  0.01
F 0.224 0.988 0.514  0.00
F 0.465 0.214 0.711  0.00
F 0.482 0.789 0.772  0.01
F 0.518 0.211 0.272  0.01
F 0.535 0.786 0.211  0.00
F 0.776 0.012 0.014  0.00
F 0.789 0.517 0.522  0.01
F 0.785 0.465 0.961  0.00
F 0.988 0.777 0.264  0.00

Results
Total energy   -5.931 eV per atom
Crystal system   tetragonal
Fermi-level density of states   0.0 states/eV/f.u.
Distance to the lowest polymorph of the same formula   0.0376 eV per atom